No. 1
{"formula": "MnSiPt2F", "functional": "PBE+U", "state": "optimized geometry", "dos_ef_per_ev_cell": 2.5, "space_group": "P4/mmm, No. 123", "final_energy_ev_per_cell": -25.19, "lattice": [[4.938, 0.000, 0.000], [0.000, 4.938, 0.000], [0.000, 0.000, 3.386]], "species": ["Mn", "Si", "Pt", "Pt", "F"], "fractional_positions": [[0.000, 0.000, 0.000], [0.500, 0.500, 0.000], [0.000, 0.500, 0.500], [0.500, 0.000, 0.500], [0.500, 0.500, 0.500]]}

No. 2
{"formula": "SrMn2PtF", "functional": "PBE+U", "state": "optimized geometry", "dos_ef_per_ev_cell": 1.9, "space_group": "P4/mmm, No. 123", "final_energy_ev_per_cell": -25.67, "lattice": [[4.848, 0.000, 0.000], [0.000, 4.848, 0.000], [0.000, 0.000, 6.202]], "species": ["Sr", "Mn", "Mn", "Pt", "F"], "fractional_positions": [[0.000, 0.000, 0.000], [0.000, 0.500, 0.500], [0.500, 0.000, 0.500], [0.500, 0.500, 0.500], [0.500, 0.500, 0.000]]}